Below is a relaxed Ho4Tl2CdPd crystal, with properties calculated at the PBE level.

As for the final energy: -4.10 eV/atom. Its total magnetization is 0.0 μB per formula unit. The formation energy comes out at -460 meV per atom. The volume comes out at 25.25 Å³ per atom.

The structure belongs to space group R-3m (No. 166, hexagonal axes); the cell edges are 5.2452, 5.2452 and 25.4391 Å and the angles 90.00°, 90.00° and 120.00°. The distinct sites, in fractional coordinates, are Ho at (0.0000, 0.0000, 0.1173), Ho at (0.0000, 0.0000, 0.3695), Tl at (0.0000, 0.0000, 0.2445), Cd at (0.0000, 0.0000, 0.5000) and Pd at (0.0000, 0.0000, 0.0000).